[1]
Material: AlBrNO2
Method: DFT, PBE-GGA
State: optimized geometry

Cell and atoms, written as POSCAR:
```
AlBrNO2
1.0
3.639 0.000 0.000
0.000 3.639 0.000
0.000 0.000 4.203
O Br N Al
2 1 1 1
direct
0.000 0.500 0.000 O
0.500 0.000 0.000 O
0.500 0.500 0.500 Br
0.000 0.000 0.500 N
0.000 0.000 0.000 Al
```

Properties
ΔE_f (raw), eV per atom: -0.0323
Calculated density, g/cm3: 4.6


[2]
Material: BePtW
Method: DFT, PBE-GGA
State: optimized geometry

Cell and atoms, written as POSCAR:
```
BePtW
1.0
-2.119 1.845 -1.712
-3.264 -1.485 2.439
-0.826 3.624 4.927
Pt Be W
2 2 2
direct
0.009 0.819 0.545 Pt
0.009 0.492 0.201 Pt
0.509 0.362 0.482 Be
0.509 0.656 0.873 Be
0.009 0.180 0.823 W
0.509 0.016 0.154 W
```

Properties
Distance to the lowest polymorph of the same formula, meV/atom: 135
Formation enthalpy at 0 K, eV per formula unit: -0.61
Calculated density, g/cm3: 15.6


[3]
Material: CsCaHg6
Method: DFT, PBE-GGA
State: optimized geometry

Cell and atoms, written as POSCAR:
```
CsCaHg6
1.0
5.362 0.000 0.000
0.000 6.026 0.000
0.000 0.000 7.772
Hg Cs Ca
6 1 1
direct
0.500 0.864 0.301 Hg
0.000 0.676 0.500 Hg
0.500 0.864 0.699 Hg
0.000 0.174 0.707 Hg
0.000 0.174 0.293 Hg
0.500 0.209 0.000 Hg
0.000 0.662 0.000 Cs
0.500 0.377 0.500 Ca
```

Properties
Formation enthalpy at 0 K, eV per formula unit: -2.05
Calculated density, g/cm3: 9.1


[4]
Material: Zn2SbMo
Method: DFT, PBE-GGA
State: optimized geometry

Cell and atoms, written as POSCAR:
```
Zn2SbMo
1.0
-1.370 1.969 -2.896
0.235 -3.645 -2.589
-3.767 -1.017 1.091
Sb Zn Mo
1 2 1
direct
0.000 0.500 0.500 Sb
0.000 0.000 0.000 Zn
0.500 0.500 0.000 Zn
0.500 0.000 0.500 Mo
```

Properties
ΔE_f (raw), eV per atom: 0.3260
Calculated density, g/cm3: 8.5


[5]
Material: Tb8Dy2Tm
Method: DFT, PBE-GGA
State: optimized geometry

Cell and atoms, written as POSCAR:
```
Tb8Dy2Tm
1.0
6.245 1.738 1.319
2.175 9.424 2.987
2.175 5.414 8.272
Tb Dy Tm
8 2 1
direct
0.773 0.650 0.175 Tb
0.824 0.244 0.244 Tb
0.728 0.590 0.590 Tb
0.227 0.825 0.350 Tb
0.272 0.410 0.410 Tb
0.176 0.756 0.756 Tb
0.227 0.350 0.825 Tb
0.773 0.175 0.650 Tb
0.597 0.801 0.801 Dy
0.403 0.199 0.199 Dy
0.000 0.000 0.000 Tm
```

Properties
Distance to the lowest polymorph of the same formula, meV/atom: 0
Formation enthalpy at 0 K, eV per formula unit: 1.91
Calculated density, g/cm3: 8.3


[6]
Material: KRuRh2
Method: DFT, PBE-GGA
State: optimized geometry

Cell and atoms, written as POSCAR:
```
KRuRh2
1.0
-2.022 -2.827 9.557
0.468 -4.070 9.307
0.317 -1.387 10.069
Ru Rh K
1 2 1
direct
0.513 0.513 0.513 Ru
0.249 0.249 0.249 Rh
0.989 0.989 0.989 Rh
0.749 0.749 0.749 K
```

Properties
Distance to the lowest polymorph of the same formula, meV/atom: 195
Formation enthalpy at 0 K, eV per formula unit: 2.52
Calculated density, g/cm3: 8.5


[7]
Material: Hf2AsH
Method: DFT, PBE-GGA
State: optimized geometry

Cell and atoms, written as POSCAR:
```
Hf2AsH
1.0
-2.621 2.456 -4.118
3.011 -2.796 -3.584
-5.972 -6.406 -0.018
Hf As H
8 4 4
direct
0.411 0.516 0.924 Hf
0.911 0.484 0.076 Hf
0.904 0.993 0.822 Hf
0.404 0.007 0.178 Hf
0.404 0.507 0.322 Hf
0.411 0.016 0.576 Hf
0.911 0.984 0.424 Hf
0.904 0.493 0.678 Hf
0.407 0.516 0.624 As
0.407 0.016 0.876 As
0.907 0.984 0.124 As
0.907 0.484 0.376 As
0.552 0.867 0.376 H
0.052 0.633 0.876 H
0.552 0.367 0.124 H
0.052 0.133 0.624 H
```

Properties
Distance to the lowest polymorph of the same formula, meV/atom: 46
Calculated density, g/cm3: 11.0


[8]
Material: Zr4AlIn
Method: DFT, PBE-GGA
State: optimized geometry

Cell and atoms, written as POSCAR:
```
Zr4AlIn
1.0
4.712 0.000 0.000
2.356 4.076 0.236
2.356 0.910 7.806
Zr In Al
4 1 1
direct
0.880 0.880 0.359 Zr
0.120 0.120 0.641 Zr
0.371 0.371 0.888 Zr
0.629 0.629 0.112 Zr
0.500 0.500 0.500 In
0.000 0.000 0.000 Al
```

Properties
Distance to the lowest polymorph of the same formula, meV/atom: 432
Formation enthalpy at 0 K, eV per formula unit: 0.98
Calculated density, g/cm3: 5.7


[9]
Material: Eu3NiPb
Method: DFT, PBE-GGA
State: optimized geometry

Cell and atoms, written as POSCAR:
```
Eu3NiPb
1.0
-2.801 -4.652 -0.461
3.742 -2.553 3.030
-2.802 1.241 4.506
Ni Eu Pb
1 3 1
direct
0.000 0.000 0.000 Ni
0.500 0.000 0.000 Eu
0.000 0.500 0.000 Eu
0.000 0.000 0.500 Eu
0.500 0.500 0.500 Pb
```

Properties
Formation enthalpy at 0 K, eV per formula unit: -1.14
Calculated density, g/cm3: 7.4


[10]
Material: CoRhSe2
Method: DFT, PBE-GGA
State: optimized geometry

Cell and atoms, written as POSCAR:
```
CoRhSe2
1.0
-3.511 -0.079 -0.385
-1.467 -1.775 -2.679
-1.896 -5.551 2.415
Co Se Rh
1 2 1
direct
0.750 0.750 0.750 Co
0.007 0.007 0.980 Se
0.493 0.493 0.520 Se
0.250 0.250 0.250 Rh
```

Properties
ΔE_f (raw), eV per atom: 0.0391
Calculated density, g/cm3: 8.2